VASP calculation (PBE) on a relaxed Pm7Pr3Nd2 crystal. Values from VASP.

```
&SYSTEM
  ibrav = 0, nat = 12, ntyp = 3
/
ATOMIC_SPECIES
Pm 145.00 Pm.upf
Pr 140.91 Pr.upf
Nd 144.24 Nd.upf
ATOMIC_POSITIONS angstrom
Pm 0.000 0.000 0.000
Pm 0.949 1.829 3.393
Pm 0.985 1.829 10.363
Pm 0.991 0.000 16.537
Pm 3.975 0.000 2.780
Pm 3.980 1.829 8.954
Pm 4.017 1.829 15.923
Pr 0.939 0.000 7.093
Pr 3.003 1.829 0.000
Pr 4.026 0.000 12.223
Nd 1.007 1.829 13.629
Nd 3.959 1.829 5.688
CELL_PARAMETERS angstrom
6.007 0.000 0.000
0.000 3.657 0.000
-1.041 0.000 19.316
```

Results
* DOS(E_F): 16.42 states/eV/cell
* crystal system: monoclinic
* space-group type: P2/m, No. 10
* DFT formation energy: 7.7 kJ/mol of atoms
* spin magnetization: 0.0 μB per formula unit
* total DFT energy (no corrections): -4.68 eV/atom